Density functional theory data (PBEsol) for a relaxed HfAgS2Cl crystal.

a b c (Å): 4.893 4.893 4.858
angles (deg): 90.00 90.00 90.00
Positions (direct):
1 Ag 0.500 0.500 0.500
2 Hf 0.000 0.000 0.000
3 S 0.500 0.000 0.000
4 S 0.000 0.500 0.000
5 Cl 0.000 0.000 0.500

---

Density functional theory data (PBEsol) for a relaxed AgHgCl2 crystal.

- Offset from the most stable computed form: 0.00 eV per formula unit

a b c (Å): 3.850 3.850 7.715
angles (deg): 75.55 75.55 60.00
Positions (direct):
1 Cl 0.974 0.974 0.079
2 Cl 0.770 0.770 0.689
3 Ag 0.251 0.251 0.248
4 Hg 0.505 0.505 0.484

---

Density functional theory data (PBEsol) for a relaxed AgHg2Cl crystal.

- Offset from the most stable computed form: 0.13 eV per formula unit

a b c (Å): 3.488 5.434 5.515
angles (deg): 115.56 90.00 90.00
Positions (direct):
1 Hg 0.500 0.719 0.277
2 Hg 0.000 0.998 0.005
3 Ag 0.000 0.493 0.508
4 Cl 0.500 0.291 0.710

---

Density functional theory data (PBEsol) for a relaxed AgHg2Cl crystal.

- Offset from the most stable computed form: 0.15 eV per formula unit

a b c (Å): 3.401 5.587 5.737
angles (deg): 60.97 72.76 72.28
Positions (direct):
1 Ag 0.482 0.642 0.394
2 Hg 0.211 0.222 0.356
3 Hg 0.004 0.009 0.982
4 Cl 0.803 0.626 0.768

---

Density functional theory data (PBEsol) for a relaxed AgHgCl2 crystal.

- Offset from the most stable computed form: 0.63 eV per formula unit

a b c (Å): 3.784 3.784 8.747
angles (deg): 77.51 77.51 60.00
Positions (direct):
1 Cl 0.091 0.091 0.728
2 Cl 0.909 0.909 0.272
3 Hg 0.500 0.500 0.500
4 Ag 0.000 0.000 0.000

---

Density functional theory data (PBEsol) for a relaxed AgHg2Cl crystal.

- Offset from the most stable computed form: 0.01 eV per formula unit

a b c (Å): 3.519 3.519 8.373
angles (deg): 77.87 77.87 60.00
Positions (direct):
1 Hg 0.247 0.247 0.258
2 Hg 0.753 0.753 0.742
3 Ag 0.500 0.500 0.500
4 Cl 0.000 0.000 0.000

---

Summary of ΔE_f (raw) in eV per atom
-0.68, -0.30, -0.14, -0.14, -0.14, -0.17
(order as listed above)
Summary of size of the total moment in μB per formula unit
0.00, 0.00, 0.00, 0.00, 0.00, 0.00
(order as listed above)